Entry 1
Computed, not measured: crystalline RuWAu2 at its relaxed geometry at the PBE level of DFT. Values from VASP.

Results
Its total magnetization is 0.00 μB/atom.

```
&SYSTEM
  ibrav = 0, nat = 4, ntyp = 3
/
ATOMIC_SPECIES
Ru 101.07 Ru.upf
W 183.84 W.upf
Au 196.97 Au.upf
ATOMIC_POSITIONS crystal
Ru 0.000 0.000 0.000
W 0.500 0.500 0.000
Au 0.000 0.500 0.500
Au 0.500 0.000 0.500
CELL_PARAMETERS angstrom
3.857 0.000 0.000
0.000 3.857 0.000
0.000 0.000 4.384
```



Entry 2
Computed, not measured: crystalline RuWAu2 at its relaxed geometry at the PBE level of DFT. Values from VASP.

Results
Its total magnetization is 0.09 μB/atom.

```
&SYSTEM
  ibrav = 0, nat = 4, ntyp = 3
/
ATOMIC_SPECIES
Ru 101.07 Ru.upf
W 183.84 W.upf
Au 196.97 Au.upf
ATOMIC_POSITIONS crystal
Ru 0.000 0.000 0.000
W 0.500 0.500 0.500
Au 0.249 0.249 0.748
Au 0.751 0.751 0.252
CELL_PARAMETERS angstrom
4.816 -1.431 0.000
4.816 1.431 0.000
-0.822 0.000 4.718
```



Entry 3
Computed, not measured: crystalline RuWAu2 at its relaxed geometry at the PBE level of DFT. Values from VASP.

Results
Its total magnetization is 0.00 μB/atom.

```
&SYSTEM
  ibrav = 0, nat = 4, ntyp = 3
/
ATOMIC_SPECIES
Ru 101.07 Ru.upf
W 183.84 W.upf
Au 196.97 Au.upf
ATOMIC_POSITIONS crystal
Ru 0.000 0.000 0.000
W 0.500 0.500 0.207
Au 0.000 0.000 0.465
Au 0.500 0.500 0.740
CELL_PARAMETERS angstrom
2.850 0.000 0.000
0.000 2.850 0.000
0.000 0.000 8.176
```



Which structure is the most stable? The one labeled entry 3.



Entry 1
Computed, not measured: crystalline RuWAu2 at its relaxed geometry at the PBE level of DFT. Values from VASP.

Results
Its total magnetization is 0.00 μB/atom.

```
&SYSTEM
  ibrav = 0, nat = 8, ntyp = 3
/
ATOMIC_SPECIES
Ru 101.07 Ru.upf
W 183.84 W.upf
Au 196.97 Au.upf
ATOMIC_POSITIONS crystal
Ru 0.000 0.000 0.000
Ru 0.750 0.250 0.500
W 0.250 0.750 0.500
W 0.500 0.500 0.000
Au 0.130 0.625 0.005
Au 0.375 0.380 0.505
Au 0.620 0.125 0.995
Au 0.875 0.870 0.495
CELL_PARAMETERS angstrom
-3.697 3.697 2.625
3.697 -3.697 2.625
3.697 3.697 -2.625
```



Entry 2
Computed, not measured: crystalline RuWAu2 at its relaxed geometry at the PBE level of DFT. Values from VASP.

Results
Its total magnetization is 0.00 μB/atom.

```
&SYSTEM
  ibrav = 0, nat = 4, ntyp = 3
/
ATOMIC_SPECIES
Ru 101.07 Ru.upf
W 183.84 W.upf
Au 196.97 Au.upf
ATOMIC_POSITIONS crystal
Ru 0.000 0.000 0.000
W 0.250 0.750 0.500
Au 0.500 0.500 0.000
Au 0.750 0.250 0.500
CELL_PARAMETERS angstrom
-2.004 2.004 4.005
2.004 -2.004 4.005
2.004 2.004 -4.005
```



Which structure is the most stable? The one labeled entry 2.



Entry 1
Computed, not measured: crystalline RuWAu2 at its relaxed geometry at the PBE level of DFT. Values from VASP.

Results
Its total magnetization is 0.00 μB/atom.

```
&SYSTEM
  ibrav = 0, nat = 4, ntyp = 3
/
ATOMIC_SPECIES
Ru 101.07 Ru.upf
W 183.84 W.upf
Au 196.97 Au.upf
ATOMIC_POSITIONS crystal
Ru 0.000 0.000 0.000
W 0.750 0.750 0.750
Au 0.250 0.250 0.250
Au 0.500 0.500 0.500
CELL_PARAMETERS angstrom
0.000 3.207 3.207
3.207 0.000 3.207
3.207 3.207 0.000
```



Entry 2
Computed, not measured: crystalline RuWAu2 at its relaxed geometry at the PBE level of DFT. Values from VASP.

Results
Its total magnetization is 0.16 μB/atom.

```
&SYSTEM
  ibrav = 0, nat = 4, ntyp = 3
/
ATOMIC_SPECIES
Ru 101.07 Ru.upf
W 183.84 W.upf
Au 196.97 Au.upf
ATOMIC_POSITIONS crystal
Ru 0.000 0.000 0.000
W 0.500 0.500 0.500
Au 0.250 0.250 0.250
Au 0.750 0.750 0.750
CELL_PARAMETERS angstrom
1.417 0.818 9.415
-1.417 0.818 9.415
0.000 -1.636 9.415
```



Entry 3
Computed, not measured: crystalline RuWAu2 at its relaxed geometry at the PBE level of DFT. Values from VASP.

Results
Its total magnetization is 0.00 μB/atom.

```
&SYSTEM
  ibrav = 0, nat = 4, ntyp = 3
/
ATOMIC_SPECIES
Ru 101.07 Ru.upf
W 183.84 W.upf
Au 196.97 Au.upf
ATOMIC_POSITIONS crystal
Ru 0.000 0.000 0.000
W 0.500 0.500 0.500
Au 0.250 0.250 0.250
Au 0.750 0.750 0.750
CELL_PARAMETERS angstrom
0.000 3.197 3.197
3.197 0.000 3.197
3.197 3.197 0.000
```



Entry 4
Computed, not measured: crystalline RuWAu2 at its relaxed geometry at the PBE level of DFT. Values from VASP.

Results
Its total magnetization is 0.00 μB/atom.

```
&SYSTEM
  ibrav = 0, nat = 4, ntyp = 3
/
ATOMIC_SPECIES
Ru 101.07 Ru.upf
W 183.84 W.upf
Au 196.97 Au.upf
ATOMIC_POSITIONS crystal
Ru 0.000 0.000 0.000
W 0.500 0.500 0.000
Au 0.000 0.500 0.500
Au 0.500 0.000 0.500
CELL_PARAMETERS angstrom
4.809 0.000 0.000
0.000 2.853 0.000
-1.575 0.000 4.741
```



Which structure is the most stable? The one labeled entry 4.



Entry 1
Computed, not measured: crystalline RuWAu2 at its relaxed geometry at the PBE level of DFT. Values from VASP.

Results
Its total magnetization is 0.00 μB/atom.

```
&SYSTEM
  ibrav = 0, nat = 4, ntyp = 3
/
ATOMIC_SPECIES
Ru 101.07 Ru.upf
W 183.84 W.upf
Au 196.97 Au.upf
ATOMIC_POSITIONS crystal
Ru 0.000 0.000 0.000
W 0.500 0.500 0.000
Au 0.000 0.500 0.500
Au 0.500 0.000 0.500
CELL_PARAMETERS angstrom
2.678 -4.243 0.000
2.678 4.243 0.000
-0.010 0.000 2.870
```



Entry 2
Computed, not measured: crystalline RuWAu2 at its relaxed geometry at the PBE level of DFT. Values from VASP.

Results
Its total magnetization is 0.00 μB/atom.

```
&SYSTEM
  ibrav = 0, nat = 4, ntyp = 3
/
ATOMIC_SPECIES
Ru 101.07 Ru.upf
W 183.84 W.upf
Au 196.97 Au.upf
ATOMIC_POSITIONS crystal
Ru 0.000 0.000 0.000
W 0.500 0.500 0.200
Au 0.000 0.000 0.470
Au 0.500 0.500 0.728
CELL_PARAMETERS angstrom
2.886 0.000 0.000
0.000 3.874 0.000
0.000 0.000 5.870
```



Which structure is the most stable? The one labeled entry 2.



Entry 1
Computed, not measured: crystalline RuWAu2 at its relaxed geometry at the PBE level of DFT. Values from VASP.

Results
Its total magnetization is 0.00 μB/atom.

```
&SYSTEM
  ibrav = 0, nat = 4, ntyp = 3
/
ATOMIC_SPECIES
Ru 101.07 Ru.upf
W 183.84 W.upf
Au 196.97 Au.upf
ATOMIC_POSITIONS crystal
Ru 0.000 0.000 0.000
W 0.500 0.500 0.000
Au 0.250 0.750 0.500
Au 0.750 0.250 0.500
CELL_PARAMETERS angstrom
-1.931 1.931 4.341
1.931 -1.931 4.341
1.931 1.931 -4.341
```



Entry 2
Computed, not measured: crystalline RuWAu2 at its relaxed geometry at the PBE level of DFT. Values from VASP.

Results
Its total magnetization is 0.06 μB/atom.

```
&SYSTEM
  ibrav = 0, nat = 4, ntyp = 3
/
ATOMIC_SPECIES
Ru 101.07 Ru.upf
W 183.84 W.upf
Au 196.97 Au.upf
ATOMIC_POSITIONS crystal
Ru 0.000 0.000 0.000
W 0.500 0.500 0.782
Au 0.000 0.000 0.524
Au 0.500 0.500 0.257
CELL_PARAMETERS angstrom
1.521 -2.319 0.000
1.521 2.319 0.000
0.000 0.000 9.525
```



Which structure is the most stable? The one labeled entry 2.



Entry 1
Computed, not measured: crystalline RuW3Au at its relaxed geometry at the PBE level of DFT. Values from VASP.

Results
Its total magnetization is 0.00 μB/atom.

```
&SYSTEM
  ibrav = 0, nat = 5, ntyp = 3
/
ATOMIC_SPECIES
Ru 101.07 Ru.upf
W 183.84 W.upf
Au 196.97 Au.upf
ATOMIC_POSITIONS crystal
Ru 0.000 0.000 0.000
W 0.000 0.500 0.500
W 0.500 0.000 0.500
W 0.500 0.500 0.000
Au 0.500 0.500 0.500
CELL_PARAMETERS angstrom
4.764 0.000 0.000
0.000 4.764 0.000
0.000 0.000 4.764
```



Entry 2
Computed, not measured: crystalline RuW3Au at its relaxed geometry at the PBE level of DFT. Values from VASP.

Results
Its total magnetization is 0.00 μB/atom.

```
&SYSTEM
  ibrav = 0, nat = 5, ntyp = 3
/
ATOMIC_SPECIES
Ru 101.07 Ru.upf
W 183.84 W.upf
Au 196.97 Au.upf
ATOMIC_POSITIONS crystal
Ru 0.000 0.000 0.000
W 0.000 0.000 0.500
W 0.000 0.500 0.000
W 0.500 0.000 0.000
Au 0.500 0.500 0.500
CELL_PARAMETERS angstrom
4.677 0.000 0.000
0.000 4.677 0.000
0.000 0.000 4.677
```



Which structure is the most stable? The one labeled entry 2.